(1)
Computed, not measured: a relaxed Ba3In2Ga crystal at the PBE-GGA level of DFT.

Its calculated formation energy is -0.3376 eV per atom. As for the total magnetic moment: 0.00 Bohr magnetons per cell. The total DFT energy (no corrections) comes out at -65.19 eV for the cell shown. The value obtained for the density is 5.02 g cm⁻³.

The space group is P2_1/c (No. 14) and the conventional cell measures 8.325, 11.136 and 10.289 Å, with angles of 90.00, 99.40 and 90.00 degrees. The distinct sites, in fractional coordinates, are Ba at (0.150, 0.133, 0.469), Ba at (0.246, 0.689, 0.758), Ba at (0.327, 0.062, 0.860), In at (0.041, 0.086, 0.115), In at (0.437, 0.603, 0.077) and Ga at (0.370, 0.162, 0.184).

=====

(2)
Computed, not measured: a relaxed BaIn12Ga6 crystal at the PBE-GGA level of DFT.

Its calculated formation energy is -0.0230 eV per atom. As for the total magnetic moment: 0.00 Bohr magnetons per cell. The total DFT energy (no corrections) comes out at -160.15 eV for the cell shown. The value obtained for the density is 6.32 g cm⁻³.

The space group is R-3m (No. 166, hexagonal axes) and the conventional cell measures 13.7651, 13.7651 and 9.2898 Å, with angles of 90.00, 90.00 and 120.00 degrees. The distinct sites, in fractional coordinates, are Ba at (0.0000, 0.0000, 0.0000), In at (0.0000, 0.3890, 0.5000), In at (0.0802, 0.1604, 0.3369) and Ga at (0.0144, 0.5072, 0.2263).

=====

(3)
Computed, not measured: a relaxed BaInGa2 crystal at the PBE-GGA level of DFT.

Its calculated formation energy is -0.4237 eV per atom. As for the total magnetic moment: 0.00 Bohr magnetons per cell. The total DFT energy (no corrections) comes out at -49.64 eV for the cell shown. The value obtained for the density is 5.85 g cm⁻³.

The space group is Pnma (No. 62) and the conventional cell measures 7.914, 4.616 and 12.168 Å, with angles of 90.00, 90.00 and 90.00 degrees. The distinct sites, in fractional coordinates, are Ba at (0.135, 0.250, 0.135), In at (0.146, 0.250, 0.439), Ga at (0.031, 0.250, 0.661) and Ga at (0.194, 0.250, 0.847).

=====

(4)
Computed, not measured: a relaxed Ba4InGa crystal at the PBE-GGA level of DFT.

Its calculated formation energy is -0.2775 eV per atom. As for the total magnetic moment: 0.00 Bohr magnetons per cell. The total DFT energy (no corrections) comes out at -15.12 eV for the cell shown. The value obtained for the density is 4.42 g cm⁻³.

The space group is P4/mmm (No. 123) and the conventional cell measures 4.263, 4.263 and 15.160 Å, with angles of 90.00, 90.00 and 90.00 degrees. The distinct sites, in fractional coordinates, are Ba at (0.000, 0.000, 0.123), Ba at (0.500, 0.500, 0.366), In at (0.000, 0.000, 0.500) and Ga at (0.500, 0.500, 0.000).